No. 1
Here is CoBOs2N after structural relaxation from Alexandria via LeMat-Bulk. Energies are from GGA-PBE.

Computed properties:
The magnetic moment comes out at 0.00 μB/f.u. The value obtained for the raw formation energy is 2.492 eV/atom. Its space group is No. 123. The total energy is -32.1 eV/f.u.

Cell: 4.432 4.432 3.492 Å, 90.00 90.00 90.00°
Sites, in units of the cell vectors:
Co 0.000 0.000 0.000
B 0.000 0.000 0.500
Os 0.000 0.500 0.000
Os 0.500 0.000 0.000
N 0.500 0.500 0.500

No. 2
Here is Er2AgSn3Te6 after structural relaxation from Alexandria via LeMat-Bulk. Energies are from GGA-PBE.

Computed properties:
The magnetic moment comes out at 0.00 μB/f.u. The value obtained for the raw formation energy is -0.577 eV/atom. Its space group is No. 12. The total energy is -49.8 eV/f.u.

Cell: 10.048 10.048 8.975 Å, 103.57 103.57 25.22°
Sites, in units of the cell vectors:
Er 0.167 0.167 0.339
Er 0.833 0.833 0.661
Ag 0.500 0.500 0.000
Sn 0.160 0.160 0.844
Sn 0.500 0.500 0.500
Sn 0.840 0.840 0.156
Te 0.008 0.008 0.237
Te 0.326 0.326 0.900
Te 0.331 0.331 0.419
Te 0.669 0.669 0.581
Te 0.674 0.674 0.100
Te 0.992 0.992 0.763

No. 3
Here is Ag2P after structural relaxation from Alexandria via LeMat-Bulk. Energies are from GGA-PBE.

Computed properties:
The magnetic moment comes out at 0.00 μB/f.u. Its space group is No. 164. The total energy is -10.2 eV/f.u. The offset from the most stable computed form comes out at 0.134 eV per atom. Its formation enthalpy at 0 K is 0.30 eV per atom.

Cell: 4.472 4.472 3.028 Å, 90.00 90.00 120.00°
Sites, in units of the cell vectors:
Ag 0.333 0.667 0.258
Ag 0.667 0.333 0.742
P 0.000 0.000 0.500